DFT (GGA-PBEsol) results for a geometry-optimized TlCuRu structure.

a = 2.9371 Å, b = 2.9371 Å, c = 6.4522 Å
α = 90.00°, β = 90.00°, γ = 120.00°
Each line ends with the local moment (μB).
Positions (direct):
Cu 0.0000 0.0000 0.9840  0.03
Ru 0.3333 0.6667 0.6844  0.28
Tl 0.6667 0.3333 0.3316  0.00

Raw total energy in eV/atom: -5.046
Calculated formation energy in eV per atom: 0.67

DFT (GGA-PBEsol) results for a geometry-optimized ZrTa2Al structure.

a = 2.8580 Å, b = 4.7959 Å, c = 5.3471 Å
α = 90.00°, β = 97.89°, γ = 90.00°
Positions (direct):
Al 0.0000 0.5000 0.5000
Zr 0.5000 0.5000 0.0000
Ta 0.7700 0.0000 0.7517
Ta 0.2300 0.0000 0.2483

Raw total energy in eV/atom: -9.584
Calculated formation energy in eV per atom: -0.01

DFT (GGA-PBEsol) results for a geometry-optimized Mg6Cd7 structure.

a = 5.6826 Å, b = 5.6826 Å, c = 10.6026 Å
α = 74.46°, β = 74.46°, γ = 60.00°
Positions (direct):
Cd 0.4111 0.4111 0.2621
Cd 0.9157 0.4111 0.2621
Cd 0.4111 0.9157 0.2621
Cd 0.5889 0.5889 0.7379
Cd 0.5889 0.0843 0.7379
Cd 0.0843 0.5889 0.7379
Cd 0.5000 0.5000 0.5000
Mg 0.9527 0.9527 0.1420
Mg 0.0473 0.0473 0.8580
Mg 0.8478 0.8478 0.4565
Mg 0.1522 0.1522 0.5435
Mg 0.6665 0.6665 0.0006
Mg 0.3335 0.3335 0.9994

Raw total energy in eV/atom: -1.486
Calculated formation energy in eV per atom: -0.05

DFT (GGA-PBEsol) results for a geometry-optimized YTl3C structure.

a = 4.8996 Å, b = 4.8996 Å, c = 4.8996 Å
α = 90.00°, β = 90.00°, γ = 90.00°
Positions (direct):
Y 0.5000 0.5000 0.5000
Tl 0.0000 0.5000 0.0000
Tl 0.0000 0.0000 0.5000
Tl 0.5000 0.0000 0.0000
C 0.0000 0.0000 0.0000

Raw total energy in eV/atom: -4.051
Calculated formation energy in eV per atom: 0.82

DFT (GGA-PBEsol) results for a geometry-optimized CdCu2As structure.

a = 2.8571 Å, b = 4.3967 Å, c = 5.4275 Å
α = 99.44°, β = 90.00°, γ = 108.96°
Positions (direct):
As 0.5098 0.0197 0.5689
Cd 0.7429 0.4857 0.2148
Cu 0.9933 0.9866 0.9497
Cu 0.2540 0.5080 0.7665

Raw total energy in eV/atom: -3.607
Calculated formation energy in eV per atom: 0.14

DFT (GGA-PBEsol) results for a geometry-optimized CaOs3W structure.

a = 4.4541 Å, b = 4.4541 Å, c = 4.4541 Å
α = 90.00°, β = 90.00°, γ = 90.00°
Positions (direct):
Ca 0.0000 0.0000 0.0000
Os 0.0000 0.5000 0.0000
Os 0.0000 0.0000 0.5000
Os 0.5000 0.0000 0.0000
W 0.5000 0.5000 0.5000

Raw total energy in eV/atom: -7.223
Calculated formation energy in eV per atom: 3.29

DFT (GGA-PBEsol) results for a geometry-optimized NaZnAsH4O6 structure.

a = 5.6831 Å, b = 6.1126 Å, c = 7.9172 Å
α = 88.55°, β = 86.75°, γ = 91.62°
Positions (direct):
Na 0.0000 0.0000 0.0000
Na 0.5000 0.5000 0.0000
Zn 0.6961 0.7494 0.3882
Zn 0.3039 0.2506 0.6118
As 0.1867 0.7455 0.6156
As 0.8133 0.2545 0.3844
H 0.7484 0.7955 0.7632
H 0.2516 0.2045 0.2368
H 0.5287 0.9057 0.8475
H 0.4713 0.0943 0.1525
H 0.9513 0.4008 0.8439
H 0.0487 0.5992 0.1561
H 0.8669 0.3907 0.0404
H 0.1331 0.6093 0.9596
O 0.3582 0.7294 0.4353
O 0.6418 0.2706 0.5647
O 0.8932 0.7576 0.5808
O 0.1068 0.2424 0.4192
O 0.2548 0.9670 0.7373
O 0.7452 0.0330 0.2627
O 0.2145 0.5126 0.7452
O 0.7855 0.4874 0.2548
O 0.6677 0.8214 0.8772
O 0.3323 0.1786 0.1228
O 0.8399 0.3253 0.9297
O 0.1601 0.6747 0.0703

Raw total energy in eV/atom: -5.334

DFT (GGA-PBEsol) results for a geometry-optimized P2IrPb structure.

a = 3.0219 Å, b = 4.6543 Å, c = 4.8818 Å
α = 90.00°, β = 90.00°, γ = 90.00°
Positions (direct):
Ir 0.0000 0.5000 0.5000
P 0.0000 0.0000 0.0000
P 0.5000 0.0000 0.5000
Pb 0.5000 0.5000 0.0000

Raw total energy in eV/atom: -5.624
Calculated formation energy in eV per atom: 0.73

DFT (GGA-PBEsol) results for a geometry-optimized Ba3CoAs structure.

a = 5.4627 Å, b = 5.4627 Å, c = 5.4627 Å
α = 90.00°, β = 90.00°, γ = 90.00°
Positions (direct):
As 0.5000 0.5000 0.5000
Co 0.0000 0.0000 0.0000
Ba 0.0000 0.5000 0.0000
Ba 0.0000 0.0000 0.5000
Ba 0.5000 0.0000 0.0000

Raw total energy in eV/atom: -3.966
Calculated formation energy in eV per atom: -0.11

DFT (GGA-PBEsol) results for a geometry-optimized BiAsIBr2 structure.

a = 5.4381 Å, b = 5.4381 Å, c = 6.0383 Å
α = 90.00°, β = 90.00°, γ = 90.00°
Each line ends with the local moment (μB).
Positions (direct):
I 0.5000 0.5000 0.5000  -0.03
As 0.0000 0.0000 0.5000  0.53
Bi 0.0000 0.0000 0.0000  -0.01
Br 0.0000 0.5000 0.0000  0.02
Br 0.5000 0.0000 0.0000  0.02

Raw formation energy in meV/atom: 206
Raw total energy in eV/atom: -2.774

DFT (GGA-PBEsol) results for a geometry-optimized Li4CaLa structure.

a = 6.0421 Å, b = 6.0421 Å, c = 6.0421 Å
α = 60.00°, β = 60.00°, γ = 60.00°
Positions (direct):
Ca 0.7500 0.7500 0.7500
La 0.0000 0.0000 0.0000
Li 0.3754 0.3754 0.3754
Li 0.3754 0.3754 0.8737
Li 0.8737 0.3754 0.3754
Li 0.3754 0.8737 0.3754

Raw total energy in eV/atom: -2.483
Calculated formation energy in eV per atom: 0.07

DFT (GGA-PBEsol) results for a geometry-optimized ZrPt2Rh structure.

a = 4.4988 Å, b = 4.4988 Å, c = 4.4988 Å
α = 60.00°, β = 60.00°, γ = 60.00°
Positions (direct):
Pt 0.7500 0.7500 0.7500
Pt 0.2500 0.2500 0.2500
Rh 0.0000 0.0000 0.0000
Zr 0.5000 0.5000 0.5000

Raw total energy in eV/atom: -8.349
Calculated formation energy in eV per atom: -0.56

DFT (GGA-PBEsol) results for a geometry-optimized CdFe2O structure.

a = 4.1750 Å, b = 4.1750 Å, c = 4.1750 Å
α = 60.00°, β = 60.00°, γ = 60.00°
Each line ends with the local moment (μB).
Positions (direct):
Fe 0.2500 0.2500 0.2500  2.88
Fe 0.7500 0.7500 0.7500  2.88
O 0.0000 0.0000 0.0000  0.14
Cd 0.5000 0.5000 0.5000  -0.06

Raw formation energy in meV/atom: 611
Raw total energy in eV/atom: -5.482

DFT (GGA-PBEsol) results for a geometry-optimized Ti3CI structure.

a = 4.9122 Å, b = 4.9122 Å, c = 4.9122 Å
α = 90.00°, β = 90.00°, γ = 90.00°
Each line ends with the local moment (μB).
Positions (direct):
I 0.0000 0.0000 0.0000  0.04
C 0.5000 0.5000 0.5000  -0.24
Ti 0.0000 0.5000 0.0000  1.17
Ti 0.0000 0.0000 0.5000  1.17
Ti 0.5000 0.0000 0.0000  1.17

Raw formation energy in meV/atom: 2325
Raw total energy in eV/atom: -4.950

DFT (GGA-PBEsol) results for a geometry-optimized Sc3AuN structure.

a = 4.3527 Å, b = 4.3527 Å, c = 4.3527 Å
α = 90.00°, β = 90.00°, γ = 90.00°
Each line ends with the local moment (μB).
Positions (direct):
Sc 0.0000 0.5000 0.0000  0.10
Sc 0.0000 0.0000 0.5000  0.10
Sc 0.5000 0.0000 0.0000  0.10
Au 0.5000 0.5000 0.5000  0.04
N 0.0000 0.0000 0.0000  -0.01

Raw formation energy in meV/atom: -1238
Raw total energy in eV/atom: -7.691

DFT (GGA-PBEsol) results for a geometry-optimized Tl2HgSb structure.

a = 3.3823 Å, b = 4.3364 Å, c = 7.3844 Å
α = 90.00°, β = 90.00°, γ = 90.00°
Positions (direct):
Sb 0.5000 0.5000 0.7353
Tl 0.0000 0.0000 0.9845
Tl 0.5000 0.5000 0.2721
Hg 0.0000 0.0000 0.5080

Raw formation energy in meV/atom: 29
Raw total energy in eV/atom: -2.567

DFT (GGA-PBEsol) results for a geometry-optimized BPtSe2Br structure.

a = 4.2057 Å, b = 4.4805 Å, c = 4.4805 Å
α = 90.00°, β = 90.00°, γ = 90.00°
Positions (direct):
B 0.0000 0.0000 0.0000
Se 0.0000 0.0000 0.5000
Se 0.0000 0.5000 0.0000
Br 0.5000 0.0000 0.0000
Pt 0.5000 0.5000 0.5000

Raw formation energy in meV/atom: 941
Raw total energy in eV/atom: -3.769

DFT (GGA-PBEsol) results for a geometry-optimized ErAl3Ni2 structure.

a = 3.9389 Å, b = 5.1827 Å, c = 5.1827 Å
α = 120.00°, β = 90.00°, γ = 90.00°
Positions (direct):
Ni 0.0000 0.3333 0.6667
Ni 0.0000 0.6667 0.3333
Al 0.5000 0.0000 0.5000
Al 0.5000 0.5000 0.5000
Al 0.5000 0.5000 0.0000
Er 0.0000 0.0000 0.0000

Raw total energy in eV/atom: -5.552
Calculated formation energy in eV per atom: -0.63

DFT (GGA-PBEsol) results for a geometry-optimized RbCoAg3 structure.

a = 4.9249 Å, b = 4.9249 Å, c = 4.9249 Å
α = 90.00°, β = 90.00°, γ = 90.00°
Each line ends with the local moment (μB).
Positions (direct):
Co 0.0000 0.0000 0.0000  1.70
Rb 0.5000 0.5000 0.5000  -0.01
Ag 0.0000 0.5000 0.0000  0.03
Ag 0.0000 0.0000 0.5000  0.03
Ag 0.5000 0.0000 0.0000  0.03

Raw total energy in eV/atom: -3.038
Calculated formation energy in eV per atom: 0.70

DFT (GGA-PBEsol) results for a geometry-optimized Zr2HgAu structure.

a = 3.5342 Å, b = 3.5342 Å, c = 6.4306 Å
α = 90.00°, β = 90.00°, γ = 90.00°
Positions (direct):
Au 0.0000 0.0000 0.4970
Hg 0.5000 0.5000 0.7448
Zr 0.0000 0.0000 0.9847
Zr 0.5000 0.5000 0.2734

Raw total energy in eV/atom: -6.059
Calculated formation energy in eV per atom: -0.39